(1)
Ba2HgOsS6 | GGA-PBE | optimized geometry

Cell lengths 6.3334, 6.5855, 7.2834 Å; angles 73.29, 64.61, 63.57 degrees
Fractional coordinates of all 10 atoms:
1 Os 0.0000 0.5000 0.5000
2 Ba 0.2565 0.7259 0.7671
3 Ba 0.7435 0.2741 0.2329
4 S 0.6843 0.7458 0.3528
5 S 0.8338 0.2169 0.6408
6 S 0.1662 0.7831 0.3592
7 S 0.7592 0.6398 0.8399
8 S 0.2408 0.3602 0.1601
9 S 0.3157 0.2542 0.6472
10 Hg 0.5000 0.0000 0.0000

Summary:
M_tot: 0.45 μB per formula unit
symmetry: P-1, No. 2
energy: -47.16 eV for the cell shown
offset from the most stable computed form: 0.000 eV per atom

---

(2)
Ba2HgOsS6 | GGA-PBE | optimized geometry

Cell lengths 7.0331, 7.0331, 7.0331 Å; angles 120.00, 120.00, 60.00 degrees
Fractional coordinates of all 10 atoms:
1 S 0.7627 0.7627 0.7627
2 S 0.2373 0.7627 0.2373
3 S 0.7627 0.2373 0.2373
4 S 0.2373 0.2373 0.2373
5 S 0.2373 0.7627 0.7627
6 S 0.7627 0.2373 0.7627
7 Hg 0.5000 0.5000 0.5000
8 Os 0.0000 0.0000 0.0000
9 Ba 0.7500 0.7500 0.2500
10 Ba 0.2500 0.2500 0.7500

Summary:
M_tot: 2.53 μB per formula unit
symmetry: Fm-3m, No. 225
energy: -46.27 eV for the cell shown
offset from the most stable computed form: 0.089 eV per atom

---

(3)
Ba2HgOsSe6 | GGA-PBE | optimized geometry

Cell lengths 6.4563, 6.8276, 7.4038 Å; angles 74.37, 67.22, 66.03 degrees
Fractional coordinates of all 10 atoms:
1 Hg 0.5000 0.0000 0.0000
2 Se 0.1595 0.7958 0.3515
3 Se 0.7741 0.6365 0.8412
4 Se 0.2259 0.3635 0.1588
5 Se 0.6686 0.7409 0.3505
6 Se 0.8405 0.2042 0.6485
7 Se 0.3314 0.2591 0.6495
8 Os 0.0000 0.5000 0.5000
9 Ba 0.7397 0.2659 0.2296
10 Ba 0.2603 0.7341 0.7704

Summary:
M_tot: 0.14 μB per formula unit
symmetry: P-1, No. 2
energy: -43.16 eV for the cell shown

---

(4)
BaPaHg | GGA-PBE | optimized geometry

Cell lengths 5.2752, 5.2752, 5.2752 Å; angles 60.00, 60.00, 60.00 degrees
Fractional coordinates of all 3 atoms:
1 Pa 0.0000 0.0000 0.0000
2 Ba 0.2500 0.2500 0.2500
3 Hg 0.7500 0.7500 0.7500

Summary:
M_tot: 1.12 μB per formula unit
symmetry: F-43m, No. 216
energy: -9.17 eV for the cell shown
offset from the most stable computed form: 0.000 eV per atom